Computed, not measured: a relaxed structure of SrPr2Sc at the GGA-PBE level of DFT.

abc: 3.6998 3.6998 12.3338
angles: 81.37 81.37 60.00
With the nearest neighbours (Å) after each atom.
Positions (direct):
1 Sr 0.4996 0.4996 0.5012  6 Sr 3.70, 6 Pr 3.99-4.03
2 Pr 0.0738 0.0738 0.7787  3 Sc 3.43, 6 Pr 3.70
3 Pr 0.2600 0.2600 0.2201  3 Sc 3.42, 6 Pr 3.70
4 Sc 0.6666 0.6666 0.0001  6 Pr 3.42-3.43, 6 Sc 3.70

Computed properties:
DFT formation energy ... 0.1401 eV per atom
E above lowest polymorph ... 0.20 eV per formula unit

=====

Computed, not measured: a relaxed structure of Na3BeTc at the GGA-PBE level of DFT.

abc: 5.7556 5.7556 5.7556
angles: 90.00 90.00 90.00
With the nearest neighbours (Å) after each atom.
Positions (direct):
1 Na 0.0000 0.5000 0.0000  2 Tc 2.88
2 Na 0.0000 0.0000 0.5000  2 Tc 2.88
3 Na 0.5000 0.0000 0.0000  2 Tc 2.88
4 Tc 0.0000 0.0000 0.0000  6 Na 2.88
5 Be 0.5000 0.5000 0.5000  12 Na 4.07

Computed properties:
DFT formation energy ... 1.6824 eV per atom
E above lowest polymorph ... 1.11 eV per formula unit

=====

Computed, not measured: a relaxed structure of CsP2H8 at the GGA-PBE level of DFT.

abc: 7.3992 7.4751 8.2528
angles: 87.37 63.37 60.34
With the nearest neighbours (Å) after each atom.
Positions (direct):
1 Cs 0.1332 0.7500 0.2500  6 H 3.17-3.38
2 Cs 0.8668 0.2500 0.7500  6 H 3.17-3.38
3 P 0.0030 0.6220 0.8576  3 H 1.44-1.47
4 P 0.5174 0.1220 0.3576  3 H 1.44-1.47
5 P 0.4826 0.8780 0.6424  3 H 1.44-1.47
6 P 0.9970 0.3780 0.1424  3 H 1.44-1.47
7 H 0.4628 0.5594 0.5053  1 H 0.76
8 H 0.9889 0.2341 0.2681  1 P 1.46
9 H 0.8706 0.7929 0.0211  1 P 1.47
10 H 0.3718 0.0597 0.3360  1 P 1.44
11 H 0.1294 0.2071 0.9789  1 P 1.47
12 H 0.7675 0.4403 0.1640  1 P 1.44
13 H 0.6282 0.9403 0.6640  1 P 1.44
14 H 0.3154 0.2929 0.5211  1 P 1.47
15 H 0.2325 0.5597 0.8360  1 P 1.44
16 H 0.5276 0.9406 0.9947  1 H 0.76
17 H 0.5088 0.7341 0.7681  1 P 1.46
18 H 0.4912 0.2659 0.2319  1 P 1.46
19 H 0.4724 0.0594 0.0053  1 H 0.76
20 H 0.6846 0.7071 0.4789  1 P 1.47
21 H 0.5372 0.4406 0.4947  1 H 0.76
22 H 0.0111 0.7659 0.7319  1 P 1.46

Computed properties:
E above lowest polymorph ... 0.00 eV per formula unit